[1]
Sr3Li8Hg | PBE | optimized geometry

The structure in extended XYZ format:
```
12
Lattice="3.078 1.777 10.054 -3.078 1.777 10.054 0.000 -3.554 10.054" Properties=species:S:1:pos:R:3 pbc="T T T"
Sr 0.000 0.000 0.000
Sr 0.000 0.000 3.991
Sr 0.000 0.000 15.868
Li -1.570 -0.906 12.031
Li 0.000 -1.727 7.299
Li -1.495 0.863 7.299
Li 0.000 0.000 9.636
Li 1.495 0.863 7.299
Li 1.570 -0.906 12.031
Li 0.000 1.812 12.031
Li 0.000 0.000 24.844
Hg 0.000 0.000 19.347
```

Properties
theoretical density	2.6	Mg/m³
crystal system	trigonal
energy of formation	-0.47	eV/f.u.
energy	-1.761	eV per atom
space-group type	R3m (160)



[2]
Sr2LiHg | PBE | optimized geometry

The structure in extended XYZ format:
```
8
Lattice="18.265 0.000 0.000 0.000 4.149 0.000 -0.729 0.000 3.854" Properties=species:S:1:pos:R:3 pbc="T T T"
Sr 2.782 0.000 0.620
Sr 5.622 2.074 3.234
Sr 11.914 2.074 0.620
Sr 14.755 0.000 3.234
Li 0.000 2.074 0.000
Li 9.133 0.000 0.000
Hg -0.364 0.000 1.927
Hg 8.768 2.074 1.927
```

Properties
theoretical density	4.4	Mg/m³
crystal system	monoclinic
energy of formation	-0.67	eV/f.u.
energy	-1.562	eV per atom
space-group type	C2/m (12)



[3]
SrLiHg2 | PBE | optimized geometry

The structure in extended XYZ format:
```
8
Lattice="8.348 0.000 0.000 0.000 4.745 0.000 -2.726 0.000 5.543" Properties=species:S:1:pos:R:3 pbc="T T T"
Sr 0.000 0.000 0.000
Sr 4.174 2.373 0.000
Li 0.060 0.000 3.269
Li 4.234 2.373 3.269
Hg -1.338 2.373 3.435
Hg 1.425 2.373 2.088
Hg 2.836 0.000 3.435
Hg 5.599 0.000 2.088
```

Properties
theoretical density	7.5	Mg/m³
crystal system	monoclinic
energy of formation	-1.48	eV/f.u.
energy	-1.419	eV per atom
space-group type	Cm (8)



[4]
Sr2Li2Hg | PBE | optimized geometry

The structure in extended XYZ format:
```
10
Lattice="6.302 0.000 0.000 0.000 6.302 0.000 0.000 0.000 8.033" Properties=species:S:1:pos:R:3 pbc="T T T"
Sr 0.000 3.151 2.008
Sr 0.000 3.151 6.025
Sr 3.151 0.000 2.008
Sr 3.151 0.000 6.025
Li 0.000 0.000 1.242
Li 0.000 0.000 6.791
Li 3.151 3.151 2.774
Li 3.151 3.151 5.259
Hg 0.000 0.000 4.017
Hg 3.151 3.151 0.000
```

Properties
theoretical density	4.1	Mg/m³
crystal system	tetragonal
offset from the most stable computed form	0.170	eV/atom
energy of formation	-0.25	eV/f.u.
energy	-1.548	eV per atom
space-group type	I4/mmm (139)